Entry 1:
! PBE-GGA Li4Tm3PuTe8, relaxed; values from VASP
&SYSTEM
  ibrav = 0, nat = 16, ntyp = 4
/
ATOMIC_SPECIES
Li 6.94 Li.upf
Tm 168.93 Tm.upf
Pu 244.00 Pu.upf
Te 127.60 Te.upf
ATOMIC_POSITIONS crystal
Li 0.000 0.000 0.000
Li 0.000 0.500 0.500
Li 0.500 0.000 0.500
Li 0.500 0.500 0.000
Tm 0.000 0.000 0.500
Tm 0.000 0.500 0.000
Tm 0.500 0.000 0.000
Pu 0.500 0.500 0.500
Te 0.245 0.245 0.755
Te 0.245 0.755 0.245
Te 0.245 0.755 0.755
Te 0.251 0.251 0.251
Te 0.749 0.749 0.749
Te 0.755 0.245 0.245
Te 0.755 0.245 0.755
Te 0.755 0.755 0.245
CELL_PARAMETERS angstrom
4.328 2.499 7.040
-4.328 2.499 7.040
0.000 -4.997 7.040
! symmetry	R-3m
! E	-4.981	eV/atom
! energy relative to the elements, uncorrected	-1197	meV/atom

***

Entry 2:
! PBE-GGA LuPaTcRh, relaxed; values from VASP
&SYSTEM
  ibrav = 0, nat = 4, ntyp = 4
/
ATOMIC_SPECIES
Lu 174.97 Lu.upf
Pa 231.04 Pa.upf
Tc 98.00 Tc.upf
Rh 102.91 Rh.upf
ATOMIC_POSITIONS crystal
Lu 0.000 0.000 0.000
Pa 0.500 0.500 0.500
Tc 0.750 0.750 0.750
Rh 0.250 0.250 0.250
CELL_PARAMETERS angstrom
0.000 3.408 3.408
3.408 0.000 3.408
3.408 3.408 0.000
! symmetry	F-43m
! ΔH_f (0 K)	-0.503	eV/atom
! E	-8.437	eV/atom